Material: Rb3Ag2As4HO14
Method: DFT, PBE
State: relaxed

Computed properties:
The value obtained for the uncorrected energy is -5.346 eV/atom.

Unit cell a=5.7695 b=5.9165 c=12.9595 alpha=90.82 beta=101.41 gamma=118.35
Last column: nearest neighbours and their distance in Å.
Atoms (fractional coordinates):
Rb  0.0000  0.0000  0.0000  4 O 2.76-2.92, 2 H 2.99
Rb  0.2123  0.8620  0.5704  9 O 2.94-3.08
Rb  0.7877  0.1380  0.4296  9 O 2.94-3.08
Ag  0.0032  0.7342  0.2720  4 O 2.14-2.16
Ag  0.9968  0.2658  0.7280  4 O 2.14-2.16
As  0.4020  0.4493  0.3442  4 O 1.67-1.82
As  0.4360  0.7099  0.1396  4 O 1.69-1.80
As  0.5640  0.2901  0.8604  4 O 1.69-1.80
As  0.5980  0.5507  0.6558  4 O 1.67-1.82
H  0.5000  0.5000  0.0000  2 O 1.21
O  0.2245  0.0961  0.8117  1 As 1.71
O  0.2509  0.3765  0.6163  1 As 1.72
O  0.2613  0.6281  0.3801  1 As 1.72
O  0.2713  0.8679  0.1665  1 As 1.69
O  0.2775  0.1566  0.3850  1 As 1.67
O  0.3249  0.4153  0.2002  2 As 1.80-1.82
O  0.3583  0.5959  0.0080  1 H 1.21
O  0.6417  0.4041  0.9920  1 H 1.21
O  0.6751  0.5847  0.7998  2 As 1.80-1.82
O  0.7225  0.8434  0.6150  1 As 1.67
O  0.7287  0.1321  0.8335  1 As 1.69
O  0.7387  0.3719  0.6199  1 As 1.72
O  0.7491  0.6235  0.3837  1 As 1.72
O  0.7755  0.9039  0.1883  1 As 1.71